PaCoNiSb | PBE | relaxed

a = 4.608 Å, b = 4.608 Å, c = 4.608 Å
α = 60.00°, β = 60.00°, γ = 60.00°
Fractional coordinates of all 4 atoms:
Pa: 0.750 0.750 0.750
Sb: 0.250 0.250 0.250
Co: 0.000 0.000 0.000
Ni: 0.500 0.500 0.500

Results
SG: F-43m
Energy (eV per atom): -6.94
Energy relative to the elements, uncorrected (meV per atom): -310

***

LiUI5 | PBE | relaxed

a = 8.195 Å, b = 8.195 Å, c = 11.583 Å
α = 110.03°, β = 110.03°, γ = 88.20°
Last column: magnetic moment on the atom in μB.
Fractional coordinates of all 14 atoms:
I: 0.321 0.179 0.250  -0.03
I: 0.824 0.328 0.029  -0.04
I: 0.828 0.324 0.529  -0.04
I: 0.172 0.676 0.471  -0.04
I: 0.590 0.676 0.339  -0.04
I: 0.410 0.324 0.661  -0.04
I: 0.824 0.910 0.161  -0.04
I: 0.176 0.672 0.971  -0.04
I: 0.679 0.821 0.750  -0.03
I: 0.176 0.090 0.839  -0.04
Li: 0.125 0.375 0.750  0.00
Li: 0.875 0.625 0.250  0.00
U: 0.500 0.500 0.500  2.18
U: 0.000 0.000 0.000  2.18

Results
SG: C2/c
Energy (eV per atom): -3.88
Energy relative to the elements, uncorrected (meV per atom): -887

***

MnCoP2 | PBE | relaxed

a = 4.302 Å, b = 2.743 Å, c = 3.816 Å
α = 90.00°, β = 90.00°, γ = 90.00°
Last column: magnetic moment on the atom in μB.
Fractional coordinates of all 4 atoms:
Co: 0.000 0.375 0.485  0.11
P: 0.000 0.875 0.989  -0.03
P: 0.500 0.375 0.265  -0.03
Mn: 0.500 0.875 0.761  0.95

Results
SG: Pmm2
E above lowest polymorph (meV per atom): 272
Energy (eV per atom): -7.11
Formation energy from the elements (eV per atom): -0.34

***

AcMgSn2Pt4 | PBE | relaxed

a = 4.571 Å, b = 4.571 Å, c = 9.520 Å
α = 76.11°, β = 76.11°, γ = 60.00°
Fractional coordinates of all 8 atoms:
Pt: 0.864 0.864 0.409
Pt: 0.402 0.402 0.793
Pt: 0.136 0.136 0.591
Pt: 0.598 0.598 0.207
Ac: 0.000 0.000 0.000
Sn: 0.761 0.761 0.717
Sn: 0.239 0.239 0.283
Mg: 0.500 0.500 0.500

Results
SG: R-3m
Energy (eV per atom): -5.54
Formation energy from the elements (eV per atom): -0.80

***

Number 1: total moment 0.0 μB per formula unit. Number 2: total moment 2.0 μB per formula unit. Number 3: total moment 1.0 μB per formula unit. Number 4: total moment 0.0 μB per formula unit.